The following is a DFT calculation (GGA-PBEsol) of a relaxed structure of Rb2ScOs2.

a b c (Å): 13.2880 13.2880 13.2880
angles (deg): 164.99 164.99 21.28
Fractional coordinates of all 5 atoms:
Rb 0.1345 0.1345 0.0000
Rb 0.8655 0.8655 0.0000
Sc 0.5000 0.5000 0.0000
Os 0.2500 0.7500 0.5000
Os 0.7500 0.2500 0.5000

Summary:
**Formation energy from the elements**: 1140 meV per atom

The following is a DFT calculation (GGA-PBEsol) of a relaxed structure of Rb2ScTaOs.

a b c (Å): 6.3540 6.3540 4.6829
angles (deg): 90.00 90.00 90.00
Fractional coordinates of all 5 atoms:
Rb 0.0000 0.5000 0.0000
Rb 0.5000 0.0000 0.0000
Sc 0.0000 0.0000 0.5000
Ta 0.5000 0.5000 0.5000
Os 0.5000 0.5000 0.0000

Summary:
**Formation energy from the elements**: 1832 meV per atom

The following is a DFT calculation (GGA-PBEsol) of a relaxed structure of RbSc2TiOs.

a b c (Å): 4.7666 4.7666 4.7609
angles (deg): 90.00 90.00 90.00
Fractional coordinates of all 5 atoms:
Rb 0.0000 0.0000 0.0000
Sc 0.0000 0.5000 0.0000
Sc 0.5000 0.0000 0.0000
Ti 0.5000 0.5000 0.5000
Os 0.0000 0.0000 0.5000

Summary:
**Formation energy from the elements**: 2039 meV per atom

The following is a DFT calculation (GGA-PBEsol) of a relaxed structure of RbOs3Se.

a b c (Å): 4.6469 4.6469 4.6469
angles (deg): 90.00 90.00 90.00
Fractional coordinates of all 5 atoms:
Rb 0.0000 0.0000 0.0000
Os 0.0000 0.5000 0.5000
Os 0.5000 0.0000 0.5000
Os 0.5000 0.5000 0.0000
Se 0.5000 0.5000 0.5000

Summary:
**Formation energy without anion corrections**: 2.03 eV per atom

The following is a DFT calculation (GGA-PBEsol) of a relaxed structure of RbOs3W.

a b c (Å): 4.5496 4.5496 4.5496
angles (deg): 90.00 90.00 90.00
Fractional coordinates of all 5 atoms:
Rb 0.0000 0.0000 0.0000
Os 0.0000 0.0000 0.5000
Os 0.0000 0.5000 0.0000
Os 0.5000 0.0000 0.0000
W 0.5000 0.5000 0.5000

Summary:
**Formation energy from the elements**: 4324 meV per atom

The following is a DFT calculation (GGA-PBEsol) of a relaxed structure of Rb3ZnOs.

a b c (Å): 6.2539 6.2539 6.2539
angles (deg): 90.00 90.00 90.00
Fractional coordinates of all 5 atoms:
Rb 0.0000 0.0000 0.5000
Rb 0.0000 0.5000 0.0000
Rb 0.5000 0.0000 0.0000
Zn 0.5000 0.5000 0.5000
Os 0.0000 0.0000 0.0000

Summary:
**Formation energy from the elements**: 1407 meV per atom

| no. | uncorrected energy (eV/atom) | M_tot (μB per cell) |
| --- | --- | --- |
| 1 | -5.48 | 1.50 |
| 2 | -4.85 | 1.73 |
| 3 | -4.92 | 1.27 |
| 4 | -6.28 | 1.01 |
| 5 | -5.97 | 1.06 |
| 6 | -1.97 | 1.04 |